## SmDy2Er5 (PBE)

Data for SmDy2Er5 after structural relaxation.

Lattice parameters (Å, degrees): 7.0596 14.1235 4.9822 90.00 90.00 90.00
Atoms (fractional coordinates):
Sm: 0.0000 0.0000 0.0000
Sm: 0.5000 0.5000 0.0000
Dy: 0.2492 0.3743 0.5000
Dy: 0.2508 0.8743 0.5000
Dy: 0.7492 0.1257 0.5000
Dy: 0.7508 0.6257 0.5000
Er: 0.0000 0.5000 0.0000
Er: 0.0005 0.7492 0.0000
Er: 0.2500 0.1257 0.5000
Er: 0.2500 0.6257 0.5000
Er: 0.4995 0.2492 0.0000
Er: 0.5000 0.0000 0.0000
Er: 0.5005 0.7508 0.0000
Er: 0.7500 0.3743 0.5000
Er: 0.7500 0.8743 0.5000
Er: 0.9995 0.2508 0.0000

## Properties
Formation energy = 18 meV per atom
DFT total energy = -4.575 eV per atom